(1)
# Ca2NbInO6 PBE-GGA optimized geometry
data_Ca2NbInO6
_chemical_formula_sum 'Ca8 Nb4 In4 O24'
_space_group_name_H-M_alt 'F m -3 m'
_space_group_IT_number 225
_space_group_name_Hall '-F 4 2 3'
_cell_length_a 8.2010
_cell_length_b 8.2010
_cell_length_c 8.2010
_cell_angle_alpha 90.00
_cell_angle_beta 90.00
_cell_angle_gamma 90.00
loop_
_atom_site_label
_atom_site_type_symbol
_atom_site_fract_x
_atom_site_fract_y
_atom_site_fract_z
Ca1 Ca 0.2500 0.2500 0.2500
Nb1 Nb 0.0000 0.0000 0.0000
In1 In 0.0000 0.0000 0.5000
O1 O 0.0000 0.0000 0.2424
# Total moment: 0.00 μB/f.u.
# Energy: -282.2 eV/cell

***

(2)
# YBiRh4 PBE-GGA optimized geometry
data_YBiRh4
_chemical_formula_sum 'Y4 Bi4 Rh16'
_space_group_name_H-M_alt 'F -4 3 m'
_space_group_IT_number 216
_space_group_name_Hall 'F -4 2 3'
_cell_length_a 7.5702
_cell_length_b 7.5702
_cell_length_c 7.5702
_cell_angle_alpha 90.00
_cell_angle_beta 90.00
_cell_angle_gamma 90.00
loop_
_atom_site_label
_atom_site_type_symbol
_atom_site_fract_x
_atom_site_fract_y
_atom_site_fract_z
Y1 Y 0.0000 0.0000 0.0000
Bi1 Bi 0.2500 0.2500 0.7500
Rh1 Rh 0.1245 0.1245 0.3755
# DFT formation energy: -382 meV per atom
# Total moment: 0.00 μB/f.u.

***

(3)
# Li3Al2Zn3Cd PBE-GGA optimized geometry
data_Li3Al2Zn3Cd
_chemical_formula_sum 'Li3 Al2 Zn3 Cd1'
_space_group_name_H-M_alt 'P -6 2 m'
_space_group_IT_number 189
_space_group_name_Hall 'P -6 -2'
_cell_length_a 7.6548
_cell_length_b 7.6548
_cell_length_c 2.8362
_cell_angle_alpha 90.00
_cell_angle_beta 90.00
_cell_angle_gamma 120.00
loop_
_atom_site_label
_atom_site_type_symbol
_atom_site_fract_x
_atom_site_fract_y
_atom_site_fract_z
Li1 Li 0.0000 0.6931 0.0000
Al1 Al 0.3333 0.6667 0.0000
Zn1 Zn 0.0000 0.3689 0.5000
Cd1 Cd 0.0000 0.0000 0.5000
# DFT formation energy: -118 meV per atom
# Total moment: 0.00 μB/f.u.

***

(4)
# CsKCuH3 PBE-GGA optimized geometry
data_CsKCuH3
_chemical_formula_sum 'Cs4 K4 Cu4 H12'
_space_group_name_H-M_alt 'C 1 2/m 1'
_space_group_IT_number 12
_cell_length_a 7.5503
_cell_length_b 8.6913
_cell_length_c 8.4613
_cell_angle_alpha 90.00
_cell_angle_beta 95.78
_cell_angle_gamma 90.00
loop_
_space_group_symop_operation_xyz
'x,y,z'
'-x,-y,-z'
'-x,y,-z'
'x,-y,z'
'x+1/2,y+1/2,z'
'-x+1/2,-y+1/2,-z'
'-x+1/2,y+1/2,-z'
'x+1/2,-y+1/2,z'
loop_
_atom_site_label
_atom_site_type_symbol
_atom_site_fract_x
_atom_site_fract_y
_atom_site_fract_z
Cs1 Cs 0.2258 0.0000 0.3757
K1 K 0.0000 0.2633 0.0000
Cu1 Cu 0.2021 0.0000 0.8060
H1 H 0.1770 0.1646 0.7192
H2 H 0.2457 0.0000 0.9997
# Total moment: 0.00 μB/f.u.
# Energy: -68.0 eV/cell

***

(5)
# KInAu2Se PBE-GGA optimized geometry
data_KInAu2Se
_chemical_formula_sum 'K1 In1 Au2 Se1'
_space_group_name_H-M_alt 'P 4/m m m'
_space_group_IT_number 123
_space_group_name_Hall '-P 4 2'
_cell_length_a 5.3291
_cell_length_b 5.3291
_cell_length_c 5.4631
_cell_angle_alpha 90.00
_cell_angle_beta 90.00
_cell_angle_gamma 90.00
loop_
_atom_site_label
_atom_site_type_symbol
_atom_site_fract_x
_atom_site_fract_y
_atom_site_fract_z
K1 K 0.0000 0.0000 0.0000
In1 In 0.5000 0.5000 0.5000
Au1 Au 0.0000 0.5000 0.5000
Se1 Se 0.5000 0.5000 0.0000
# Total moment: 0.00 μB/f.u.
# Energy: -14.6 eV/cell

***

(6)
# TlSi2Tc PBE-GGA optimized geometry
data_TlSi2Tc
_chemical_formula_sum 'Tl2 Si4 Tc2'
_space_group_name_H-M_alt 'I -4 m 2'
_space_group_IT_number 119
_space_group_name_Hall 'I -4 -2'
_cell_length_a 4.0195
_cell_length_b 4.0195
_cell_length_c 8.2437
_cell_angle_alpha 90.00
_cell_angle_beta 90.00
_cell_angle_gamma 90.00
loop_
_atom_site_label
_atom_site_type_symbol
_atom_site_fract_x
_atom_site_fract_y
_atom_site_fract_z
Tl1 Tl 0.0000 0.0000 0.0000
Si1 Si 0.0000 0.0000 0.5000
Si2 Si 0.0000 0.5000 0.7500
Tc1 Tc 0.0000 0.5000 0.2500
# Total moment: 0.00 μB/f.u.
# Energy: -41.3 eV/cell

***

(7)
# KNiAg2 PBE-GGA optimized geometry
data_KNiAg2
_chemical_formula_sum 'K1 Ni1 Ag2'
_space_group_name_H-M_alt 'P m m m'
_space_group_IT_number 47
_cell_length_a 2.9257
_cell_length_b 5.2342
_cell_length_c 5.2910
_cell_angle_alpha 90.00
_cell_angle_beta 90.00
_cell_angle_gamma 90.00
loop_
_space_group_symop_operation_xyz
'x,y,z'
'-x,-y,-z'
'-x,-y,z'
'x,y,-z'
'x,-y,-z'
'-x,y,z'
'-x,y,-z'
'x,-y,z'
loop_
_atom_site_label
_atom_site_type_symbol
_atom_site_fract_x
_atom_site_fract_y
_atom_site_fract_z
K1 K 0.0000 0.0000 0.0000
Ni1 Ni 0.5000 0.5000 0.0000
Ag1 Ag 0.0000 0.5000 0.5000
Ag2 Ag 0.5000 0.0000 0.5000
# DFT formation energy: 580 meV per atom
# Total moment: 0.38 μB/f.u.

***

(8)
# Cd4CoNi PBE-GGA optimized geometry
data_Cd4CoNi
_chemical_formula_sum 'Cd16 Co4 Ni4'
_space_group_name_H-M_alt 'F -4 3 m'
_space_group_IT_number 216
_space_group_name_Hall 'F -4 2 3'
_cell_length_a 7.7570
_cell_length_b 7.7570
_cell_length_c 7.7570
_cell_angle_alpha 90.00
_cell_angle_beta 90.00
_cell_angle_gamma 90.00
loop_
_atom_site_label
_atom_site_type_symbol
_atom_site_fract_x
_atom_site_fract_y
_atom_site_fract_z
Cd1 Cd 0.1250 0.1250 0.1250
Co1 Co 0.2500 0.2500 0.7500
Ni1 Ni 0.0000 0.0000 0.5000
# DFT formation energy: 626 meV per atom
# Total moment: 1.77 μB/f.u.